# InGa2MoO8 PBE+U relaxed
# Total DFT energy (no corrections): -6.088 eV per atom
data_InGa2MoO8
_cell_length_a 6.6065
_cell_length_b 6.7093
_cell_length_c 6.2688
_cell_angle_alpha 90.00
_cell_angle_beta 90.00
_cell_angle_gamma 90.00
_space_group_name_H-M_alt 'C m m m'
_space_group_IT_number 65
_space_group_name_Hall '-C 2 2'
loop_
_atom_site_label
_atom_site_fract_x
_atom_site_fract_y
_atom_site_fract_z
In1 0.0000 0.0000 0.0000
Ga1 0.0000 0.5000 0.2501
Mo1 0.0000 0.0000 0.5000
O1 0.0000 0.2007 0.2802
O2 0.1842 0.5000 0.0000
O3 0.1997 0.5000 0.5000